Crystalline YCd2 at its relaxed geometry, computed with PBE.

Results
The calculation puts the energy relative to the elements at -0.2418 eV per atom. Its density of states at the Fermi level is 10.27 states/eV per cell. For the total energy, the calculation gives -0.110 Ha/atom.

a b c (Å): 12.2919 4.4743 6.2989
angles (deg): 90.00 118.27 90.00
Space group C2/m (No. 12)
Inequivalent atoms, fractional coordinates:
Y: 0.1748 0.0000 0.1378 (multiplicity 4)
Cd: 0.0008 0.5000 0.7538 (multiplicity 4)
Cd: 0.1335 0.0000 0.5990 (multiplicity 4)